# 1
ScMo2Pt: relaxed, PBE-GGA.

Geometry as CIF:
```
data_ScMo2Pt
_space_group_name_H-M_alt 'P 1'
_space_group_IT_number 1
_cell_length_a 2.7980
_cell_length_b 2.7980
_cell_length_c 8.8035
_cell_angle_alpha 90.00
_cell_angle_beta 90.00
_cell_angle_gamma 103.98
loop_
_space_group_symop_operation_xyz
'x,y,z'
loop_
_atom_site_label
_atom_site_type_symbol
_atom_site_fract_x
_atom_site_fract_y
_atom_site_fract_z
Sc1 Sc 0.0000 0.0000 0.0000
Mo1 Mo 0.0000 0.0000 0.5148
Mo2 Mo 0.5000 0.5000 0.2691
Pt1 Pt 0.5000 0.5000 0.7564
```

Results
Symmetry: Cmm2 (35)
Formation energy: -3.9 kcal/mol of atoms
Theoretical density: 10.72 g cm⁻³
Density of states at the Fermi level: 3.67 states/eV/cell
Excess energy over the best structure of this formula in the dataset: 139.0 meV per atom


# 2
Ac6Si2PdBr3: relaxed, PBE-GGA.

Geometry as CIF:
```
data_Ac6Si2PdBr3
_space_group_name_H-M_alt 'P 1'
_space_group_IT_number 1
_cell_length_a 10.2342
_cell_length_b 10.2342
_cell_length_c 9.4237
_cell_angle_alpha 103.08
_cell_angle_beta 103.08
_cell_angle_gamma 25.40
loop_
_space_group_symop_operation_xyz
'x,y,z'
loop_
_atom_site_label
_atom_site_type_symbol
_atom_site_fract_x
_atom_site_fract_y
_atom_site_fract_z
Ac1 Ac 0.0062 0.0062 0.2289
Ac2 Ac 0.3259 0.3259 0.4338
Ac3 Ac 0.3435 0.3435 0.8943
Ac4 Ac 0.6565 0.6565 0.1057
Ac5 Ac 0.6741 0.6741 0.5662
Ac6 Ac 0.9938 0.9938 0.7711
Si1 Si 0.1647 0.1647 0.3365
Si2 Si 0.8353 0.8353 0.6635
Pd1 Pd 0.5000 0.5000 0.0000
Br1 Br 0.1733 0.1733 0.8375
Br2 Br 0.5000 0.5000 0.5000
Br3 Br 0.8267 0.8267 0.1625
```

Results
Symmetry: C2/m (12)
Total energy: -4.84 eV per atom
Theoretical density: 7.11 g cm⁻³
Density of states at the Fermi level: 8.66 states/eV/cell


# 3
Ac4SbS2N2: relaxed, PBE-GGA.

Geometry as CIF:
```
data_Ac4SbS2N2
_space_group_name_H-M_alt 'P 1'
_space_group_IT_number 1
_cell_length_a 8.7190
_cell_length_b 8.7190
_cell_length_c 9.4657
_cell_angle_alpha 118.08
_cell_angle_beta 118.08
_cell_angle_gamma 26.65
loop_
_space_group_symop_operation_xyz
'x,y,z'
loop_
_atom_site_label
_atom_site_type_symbol
_atom_site_fract_x
_atom_site_fract_y
_atom_site_fract_z
Ac1 Ac 0.0191 0.0191 0.3165
Ac2 Ac 0.2661 0.2661 0.6831
Ac3 Ac 0.7339 0.7339 0.3169
Ac4 Ac 0.9809 0.9809 0.6835
Sb1 Sb 0.5000 0.5000 0.0000
S1 S 0.3903 0.3903 0.3548
S2 S 0.6097 0.6097 0.6452
N1 N 0.1721 0.1721 0.3871
N2 N 0.8279 0.8279 0.6129
```

Results
Symmetry: C2/m (12)
Total energy: -6.48 eV per atom
Theoretical density: 6.59 g cm⁻³
Density of states at the Fermi level: 4.13 states/eV/cell


# 4
AgBi2Au: relaxed, PBE-GGA.

Geometry as CIF:
```
data_AgBi2Au
_space_group_name_H-M_alt 'P 1'
_space_group_IT_number 1
_cell_length_a 6.5535
_cell_length_b 6.5535
_cell_length_c 6.5535
_cell_angle_alpha 103.88
_cell_angle_beta 103.88
_cell_angle_gamma 121.34
loop_
_space_group_symop_operation_xyz
'x,y,z'
loop_
_atom_site_label
_atom_site_type_symbol
_atom_site_fract_x
_atom_site_fract_y
_atom_site_fract_z
Ag1 Ag 0.0000 0.0000 0.0000
Ag2 Ag 0.7500 0.2500 0.5000
Bi1 Bi 0.1356 0.6250 0.0106
Bi2 Bi 0.3750 0.3856 0.5106
Bi3 Bi 0.6144 0.1250 0.9894
Bi4 Bi 0.8750 0.8644 0.4894
Au1 Au 0.2500 0.7500 0.5000
Au2 Au 0.5000 0.5000 0.0000
```

Results
Symmetry: I-42d (122)
Formation energy: 3.7 kcal/mol of atoms
Theoretical density: 11.45 g cm⁻³
Density of states at the Fermi level: 4.47 states/eV/cell
Excess energy over the best structure of this formula in the dataset: 92.1 meV per atom